[1]
A plane-wave DFT calculation with PBE-GGA was carried out for an optimized crystal structure of BaCaTe2.

Results
DOS at the Fermi energy	0.00	states/eV/atom
uncorrected energy	-4.008	eV/atom
total moment	0.000	Bohr magnetons per cell

a b c (Å): 12.6018 12.6018 5.9325
angles (deg): 90.00 90.00 158.48
Last column: nearest neighbours and their distance in Å.
Atoms (fractional coordinates):
Ca (0.9384, 0.0616, 0.7500)  4 Te 2.97-3.11
Ca (0.0616, 0.9384, 0.2500)  4 Te 2.97-3.11
Ba (0.3239, 0.6761, 0.2500)  7 Te 3.44-3.79
Ba (0.6761, 0.3239, 0.7500)  7 Te 3.44-3.79
Te (0.8149, 0.1851, 0.7500)  1 Ca 3.06
Te (0.9361, 0.0639, 0.2500)  3 Ca 2.97-3.11
Te (0.1851, 0.8149, 0.2500)  1 Ca 3.06
Te (0.0639, 0.9361, 0.7500)  3 Ca 2.97-3.11



[2]
A plane-wave DFT calculation with PBE-GGA was carried out for an optimized crystal structure of Dy4Ho3Pd4.

Results
DOS at the Fermi energy	1.18	states/eV/atom
uncorrected energy	-5.402	eV/atom
total moment	0.000	Bohr magnetons per cell

a b c (Å): 3.8200 9.1265 9.3387
angles (deg): 119.25 101.80 90.00
Last column: nearest neighbours and their distance in Å.
Atoms (fractional coordinates):
Ho (0.0000, 0.5000, 0.0000)  6 Pd 3.56-3.92, 8 Dy 3.62, 2 Ho 3.82
Ho (0.1070, 0.1070, 0.2141)  6 Pd 2.99
Ho (0.8930, 0.8930, 0.7859)  6 Pd 2.99
Dy (0.6615, 0.8474, 0.3229)  4 Pd 2.87-3.21
Dy (0.3385, 0.1526, 0.6771)  4 Pd 2.87-3.21
Dy (0.6615, 0.4756, 0.3229)  4 Pd 2.87-3.21
Dy (0.3385, 0.5244, 0.6771)  4 Pd 2.87-3.21
Pd (0.2477, 0.7477, 0.4954)  6 Dy 2.90-3.21, 2 Ho 2.99
Pd (0.5000, 0.8289, 0.0000)  2 Dy 2.87, 4 Ho 2.99, 1 Pd 3.12
Pd (0.5000, 0.1711, 0.0000)  2 Dy 2.87, 4 Ho 2.99, 1 Pd 3.12
Pd (0.7523, 0.2523, 0.5046)  6 Dy 2.90-3.21, 2 Ho 2.99



[3]
A plane-wave DFT calculation with PBE-GGA was carried out for an optimized crystal structure of LiZrMo2.

Results
DOS at the Fermi energy	0.69	states/eV/atom
uncorrected energy	-7.315	eV/atom
total moment	0.000	Bohr magnetons per cell

a b c (Å): 7.3053 7.3053 5.7635
angles (deg): 50.67 50.67 90.00
Last column: nearest neighbours and their distance in Å.
Atoms (fractional coordinates):
Mo (0.1583, 0.6250, 0.2500)  2 Li 2.50, 2 Mo 2.60
Mo (0.3750, 0.4083, 0.7500)  2 Li 2.50, 2 Mo 2.60
Mo (0.8750, 0.8417, 0.7500)  2 Li 2.50, 2 Mo 2.60
Mo (0.5917, 0.1250, 0.2500)  2 Li 2.50, 2 Mo 2.60
Zr (0.7500, 0.2500, 0.5000)  2 Li 2.56, 4 Mo 2.83
Zr (0.0000, 0.0000, 0.0000)  2 Li 2.56, 4 Mo 2.83
Li (0.2500, 0.7500, 0.5000)  4 Mo 2.50, 2 Zr 2.56
Li (0.5000, 0.5000, 0.0000)  4 Mo 2.50, 2 Zr 2.56



[4]
A plane-wave DFT calculation with PBE-GGA was carried out for an optimized crystal structure of SbPd9Pt2.

Results
DOS at the Fermi energy	1.64	states/eV/atom
uncorrected energy	-5.388	eV/atom
total moment	0.003	Bohr magnetons per cell

a b c (Å): 3.9966 3.9966 11.8608
angles (deg): 90.00 90.00 90.00
Last column: nearest neighbours and their distance in Å.
Atoms (fractional coordinates):
Sb (0.0000, 0.0000, 0.0000)  12 Pd 2.83
Pd (0.5000, 0.0000, 0.1686)  8 Pd 2.79-2.83, 2 Sb 2.83, 2 Pt 2.85
Pd (0.5000, 0.5000, 0.6670)  8 Pd 2.79-2.81, 4 Pt 2.83
Pd (0.0000, 0.5000, 0.1686)  8 Pd 2.79-2.83, 2 Sb 2.83, 2 Pt 2.85
Pd (0.0000, 0.5000, 0.8314)  8 Pd 2.79-2.83, 2 Sb 2.83, 2 Pt 2.85
Pd (0.5000, 0.0000, 0.5000)  4 Pt 2.76, 8 Pd 2.81-2.83
Pd (0.5000, 0.5000, 0.3330)  8 Pd 2.79-2.81, 4 Pt 2.83
Pd (0.5000, 0.5000, 0.0000)  4 Sb 2.83, 8 Pd 2.83
Pd (0.0000, 0.5000, 0.5000)  4 Pt 2.76, 8 Pd 2.81-2.83
Pd (0.5000, 0.0000, 0.8314)  8 Pd 2.79-2.83, 2 Sb 2.83, 2 Pt 2.85
Pt (0.0000, 0.0000, 0.6606)  12 Pd 2.76-2.85
Pt (0.0000, 0.0000, 0.3394)  12 Pd 2.76-2.85



[5]
A plane-wave DFT calculation with PBE-GGA was carried out for an optimized crystal structure of GeB.

Results
DOS at the Fermi energy	0.55	states/eV/atom
uncorrected energy	-4.914	eV/atom
total moment	0.000	Bohr magnetons per cell

a b c (Å): 5.9640 5.9640 5.9640
angles (deg): 90.00 90.00 90.00
Last column: nearest neighbours and their distance in Å.
Atoms (fractional coordinates):
B (0.0000, 0.7500, 0.5000)  4 Ge 2.11
B (0.5000, 0.0000, 0.7500)  4 Ge 2.11
B (0.2500, 0.5000, 0.0000)  4 Ge 2.11
B (0.5000, 0.0000, 0.2500)  4 Ge 2.11
B (0.0000, 0.2500, 0.5000)  4 Ge 2.11
B (0.7500, 0.5000, 0.0000)  4 Ge 2.11
Ge (0.5000, 0.2500, 0.0000)  4 B 2.11
Ge (0.2500, 0.0000, 0.5000)  4 B 2.11
Ge (0.7500, 0.0000, 0.5000)  4 B 2.11
Ge (0.0000, 0.5000, 0.2500)  4 B 2.11
Ge (0.0000, 0.5000, 0.7500)  4 B 2.11
Ge (0.5000, 0.7500, 0.0000)  4 B 2.11



[6]
A plane-wave DFT calculation with PBE-GGA was carried out for an optimized crystal structure of Ac2HoZn9.

Results
DOS at the Fermi energy	0.43	states/eV/atom
uncorrected energy	-2.233	eV/atom
total moment	0.000	Bohr magnetons per cell

a b c (Å): 5.6294 5.6294 9.5382
angles (deg): 72.84 72.84 60.00
Last column: nearest neighbours and their distance in Å.
Atoms (fractional coordinates):
Zn (0.4221, 0.4221, 0.2298)  6 Zn 2.61-2.84
Zn (0.6655, 0.6655, 0.0035)  6 Zn 2.61-2.64
Zn (0.0740, 0.5779, 0.7702)  6 Zn 2.61-2.84
Zn (0.5000, 0.5000, 0.5000)  6 Zn 2.92
Zn (0.5779, 0.5779, 0.7702)  6 Zn 2.61-2.84
Zn (0.4221, 0.9260, 0.2298)  6 Zn 2.61-2.84
Zn (0.9260, 0.4221, 0.2298)  6 Zn 2.61-2.84
Zn (0.3345, 0.3345, 0.9965)  6 Zn 2.61-2.64
Zn (0.5779, 0.0740, 0.7702)  6 Zn 2.61-2.84
Ac (0.8602, 0.8602, 0.4194)  12 Zn 3.29-3.54, 3 Ac 3.56
Ac (0.1398, 0.1398, 0.5806)  12 Zn 3.29-3.54, 3 Ac 3.56
Ho (0.0000, 0.0000, 0.0000)  18 Zn 3.25-3.49



[7]
A plane-wave DFT calculation with PBE-GGA was carried out for an optimized crystal structure of RbBe2TlF8.

Results
DOS at the Fermi energy	0.00	states/eV/atom
uncorrected energy	-4.870	eV/atom
total moment	0.175	Bohr magnetons per cell

a b c (Å): 4.9984 4.9984 8.4637
angles (deg): 85.67 85.67 66.98
Last column: nearest neighbours and their distance in Å.
Atoms (fractional coordinates):
F (0.6892, 0.6892, 0.3681)  1 Be 1.49
F (0.2560, 0.7247, 0.8060)  1 Be 1.60
F (0.7440, 0.2753, 0.1940)  1 Be 1.60
F (0.3108, 0.3108, 0.6319)  1 Be 1.49
F (0.2606, 0.2606, 0.9456)  1 Be 1.60
F (0.7394, 0.7394, 0.0544)  1 Be 1.60
F (0.7247, 0.2560, 0.8060)  1 Be 1.60
F (0.2753, 0.7440, 0.1940)  1 Be 1.60
Rb (0.0000, 0.0000, 0.5000)  6 F 2.91-2.97
Be (0.3804, 0.3804, 0.7876)  4 F 1.49-1.60
Be (0.6196, 0.6196, 0.2124)  4 F 1.49-1.60
Tl (0.0000, 0.0000, 0.0000)  6 F 2.18-2.21



[8]
A plane-wave DFT calculation with PBE-GGA was carried out for an optimized crystal structure of BaLiFeRu2.

Results
DOS at the Fermi energy	2.54	states/eV/atom
uncorrected energy	-4.510	eV/atom
total moment	1.150	Bohr magnetons per cell

a b c (Å): 4.3475 4.8560 4.3475
angles (deg): 90.00 90.00 90.00
Last column: nearest neighbours and their distance in Å.
Atoms (fractional coordinates):
Ru (0.5000, 0.0000, 0.0000)  2 Li 2.17
Ru (0.0000, 0.0000, 0.5000)  2 Li 2.17
Ba (0.0000, 0.5000, 0.0000)  2 Li 2.43
Fe (0.5000, 0.5000, 0.5000)  4 Ba 3.07, 8 Ru 3.26
Li (0.0000, 0.0000, 0.0000)  4 Ru 2.17, 2 Ba 2.43



[9]
A plane-wave DFT calculation with PBE-GGA was carried out for an optimized crystal structure of CaPmTh.

Results
DOS at the Fermi energy	1.58	states/eV/atom
uncorrected energy	-4.688	eV/atom
total moment	0.000	Bohr magnetons per cell

a b c (Å): 3.6599 3.6599 15.9701
angles (deg): 90.00 90.00 90.00
Last column: nearest neighbours and their distance in Å.
Atoms (fractional coordinates):
Ca (0.0000, 0.5000, 0.9071)  8 Ca 3.66-3.94, 4 Pm 3.85
Ca (0.5000, 0.0000, 0.0929)  8 Ca 3.66-3.94, 4 Pm 3.85
Th (0.5000, 0.0000, 0.4253)  8 Th 3.52-3.66, 4 Pm 3.57
Th (0.0000, 0.5000, 0.5747)  8 Th 3.52-3.66, 4 Pm 3.57
Pm (0.0000, 0.5000, 0.2712)  4 Th 3.57, 4 Pm 3.66, 4 Ca 3.85
Pm (0.5000, 0.0000, 0.7288)  4 Th 3.57, 4 Pm 3.66, 4 Ca 3.85



[10]
A plane-wave DFT calculation with PBE-GGA was carried out for an optimized crystal structure of PrP2W.

Results
DOS at the Fermi energy	0.64	states/eV/atom
uncorrected energy	-7.756	eV/atom
total moment	0.771	Bohr magnetons per cell

a b c (Å): 3.8710 3.8710 6.4480
angles (deg): 72.53 72.53 60.00
Last column: nearest neighbours and their distance in Å.
Atoms (fractional coordinates):
W (0.0000, 0.0000, 0.0000)  6 P 2.53
Pr (0.5000, 0.5000, 0.5000)  6 P 2.89
P (0.7324, 0.7324, 0.8027)  3 W 2.53
P (0.2676, 0.2676, 0.1973)  3 W 2.53



[11]
A plane-wave DFT calculation with PBE-GGA was carried out for an optimized crystal structure of CrSiBr3.

Results
DOS at the Fermi energy	0.27	states/eV/atom
uncorrected energy	-3.830	eV/atom
total moment	5.023	Bohr magnetons per cell

a b c (Å): 5.2569 5.2569 5.2569
angles (deg): 90.00 90.00 90.00
Last column: nearest neighbours and their distance in Å.
Atoms (fractional coordinates):
Si (0.0000, 0.0000, 0.0000)  6 Br 2.63
Cr (0.5000, 0.5000, 0.5000)  12 Br 3.72
Br (0.0000, 0.5000, 0.0000)  2 Si 2.63
Br (0.5000, 0.0000, 0.0000)  2 Si 2.63
Br (0.0000, 0.0000, 0.5000)  2 Si 2.63



[12]
A plane-wave DFT calculation with PBE-GGA was carried out for an optimized crystal structure of Pm3Pr2Hg2.

Results
DOS at the Fermi energy	1.13	states/eV/atom
uncorrected energy	-3.725	eV/atom
total moment	0.000	Bohr magnetons per cell

a b c (Å): 3.8608 7.0149 9.6194
angles (deg): 114.29 90.00 105.97
Last column: nearest neighbours and their distance in Å.
Atoms (fractional coordinates):
Pr (0.8548, 0.7096, 0.1888)  2 Hg 3.26
Pr (0.1452, 0.2904, 0.8112)  2 Hg 3.26
Pm (0.6102, 0.2205, 0.4452)  3 Hg 3.22-3.25, 1 Pm 3.56
Pm (0.5000, 0.0000, 0.0000)  4 Hg 3.10
Pm (0.3898, 0.7795, 0.5548)  3 Hg 3.22-3.25, 1 Pm 3.56
Hg (0.1736, 0.3472, 0.2279)  5 Pm 3.10-3.25, 2 Pr 3.26
Hg (0.8264, 0.6528, 0.7721)  5 Pm 3.10-3.25, 2 Pr 3.26



[13]
A plane-wave DFT calculation with PBE-GGA was carried out for an optimized crystal structure of Pm8SnC4.

Results
DOS at the Fermi energy	0.69	states/eV/atom
uncorrected energy	-6.125	eV/atom
total moment	0.944	Bohr magnetons per cell

a b c (Å): 7.9000 7.9000 7.9000
angles (deg): 60.00 60.00 60.00
Last column: nearest neighbours and their distance in Å.
Atoms (fractional coordinates):
C (0.8929, 0.3690, 0.3690)  6 Pm 2.57-2.65
C (0.3690, 0.3690, 0.3690)  6 Pm 2.57-2.65
C (0.3690, 0.8929, 0.3690)  6 Pm 2.57-2.65
C (0.3690, 0.3690, 0.8929)  6 Pm 2.57-2.65
Pm (0.1390, 0.5831, 0.1390)  3 C 2.57
Pm (0.5831, 0.1390, 0.1390)  3 C 2.57
Pm (0.6025, 0.1924, 0.6025)  3 C 2.65, 1 Sn 2.85
Pm (0.1390, 0.1390, 0.5831)  3 C 2.57
Pm (0.1924, 0.6025, 0.6025)  3 C 2.65, 1 Sn 2.85
Pm (0.6025, 0.6025, 0.1924)  3 C 2.65, 1 Sn 2.85
Pm (0.1390, 0.1390, 0.1390)  3 C 2.57
Pm (0.6025, 0.6025, 0.6025)  3 C 2.65, 1 Sn 2.85
Sn (0.7500, 0.7500, 0.7500)  4 Pm 2.85



[14]
A plane-wave DFT calculation with PBE-GGA was carried out for an optimized crystal structure of Sr2TaOsPb.

Results
DOS at the Fermi energy	0.97	states/eV/atom
uncorrected energy	-5.080	eV/atom
total moment	0.000	Bohr magnetons per cell

a b c (Å): 6.1250 4.6762 6.1250
angles (deg): 90.00 90.00 90.00
Last column: nearest neighbours and their distance in Å.
Atoms (fractional coordinates):
Sr (0.0000, 0.0000, 0.5000)  2 Ta 3.06
Sr (0.5000, 0.0000, 0.0000)  2 Ta 3.06
Pb (0.5000, 0.5000, 0.5000)  8 Sr 3.85
Os (0.0000, 0.5000, 0.0000)  2 Ta 2.34
Ta (0.0000, 0.0000, 0.0000)  2 Os 2.34



[15]
A plane-wave DFT calculation with PBE-GGA was carried out for an optimized crystal structure of VCuNiSe2.

Results
DOS at the Fermi energy	1.32	states/eV/atom
uncorrected energy	-4.536	eV/atom
total moment	0.157	Bohr magnetons per cell

a b c (Å): 4.6087 4.3479 4.6087
angles (deg): 90.00 90.00 90.00
Last column: nearest neighbours and their distance in Å.
Atoms (fractional coordinates):
Se (0.5000, 0.0000, 0.0000)  2 Ni 2.30
Se (0.0000, 0.0000, 0.5000)  2 Ni 2.30
Ni (0.0000, 0.0000, 0.0000)  2 Cu 2.17, 4 Se 2.30
Cu (0.0000, 0.5000, 0.0000)  2 Ni 2.17
V (0.5000, 0.5000, 0.5000)  8 Se 3.17, 4 Cu 3.26



[16]
A plane-wave DFT calculation with PBE-GGA was carried out for an optimized crystal structure of AlZnPb2.

Results
DOS at the Fermi energy	0.53	states/eV/atom
uncorrected energy	-2.866	eV/atom
total moment	0.000	Bohr magnetons per cell

a b c (Å): 5.9331 5.9331 5.9331
angles (deg): 135.92 135.92 64.10
Last column: nearest neighbours and their distance in Å.
Atoms (fractional coordinates):
Zn (0.5000, 0.5000, 0.0000)  8 Pb 3.15-3.36, 4 Al 3.36
Pb (0.2500, 0.7500, 0.5000)  4 Al 3.15, 4 Pb 3.36, 4 Zn 3.36
Pb (0.0000, 0.0000, 0.0000)  4 Zn 3.15, 4 Al 3.36, 4 Pb 3.36
Al (0.7500, 0.2500, 0.5000)  8 Pb 3.15-3.36, 4 Zn 3.36



[17]
A plane-wave DFT calculation with PBE-GGA was carried out for an optimized crystal structure of PrNd2Zn3.

Results
DOS at the Fermi energy	0.97	states/eV/atom
uncorrected energy	-3.331	eV/atom
total moment	0.000	Bohr magnetons per cell

a b c (Å): 5.2187 5.2187 6.4040
angles (deg): 90.00 90.00 120.00
Last column: nearest neighbours and their distance in Å.
Atoms (fractional coordinates):
Zn (0.6667, 0.3333, 0.8312)  5 Nd 3.18-3.22, 3 Pr 3.20
Zn (0.0000, 0.0000, 0.5000)  6 Nd 3.19, 2 Pr 3.20
Zn (0.3333, 0.6667, 0.1688)  5 Nd 3.18-3.22, 3 Pr 3.20
Pr (0.0000, 0.0000, 0.0000)  8 Zn 3.20
Nd (0.6667, 0.3333, 0.3342)  8 Zn 3.18-3.22
Nd (0.3333, 0.6667, 0.6658)  8 Zn 3.18-3.22



[18]
A plane-wave DFT calculation with PBE-GGA was carried out for an optimized crystal structure of ReP2Pt.

Results
DOS at the Fermi energy	0.45	states/eV/atom
uncorrected energy	-7.251	eV/atom
total moment	0.000	Bohr magnetons per cell

a b c (Å): 2.9335 2.9335 7.6616
angles (deg): 90.00 90.00 90.00
Last column: nearest neighbours and their distance in Å.
Atoms (fractional coordinates):
Pt (0.0000, 0.0000, 0.4937)  4 P 2.50
P (0.0000, 0.0000, 0.9328)  4 Re 2.46
P (0.5000, 0.5000, 0.3121)  4 Pt 2.50
Re (0.5000, 0.5000, 0.7613)  4 P 2.46



[19]
A plane-wave DFT calculation with PBE-GGA was carried out for an optimized crystal structure of HfNb3S6.

Results
DOS at the Fermi energy	0.69	states/eV/atom
uncorrected energy	-7.388	eV/atom
total moment	0.000	Bohr magnetons per cell

a b c (Å): 7.3244 7.3244 7.3244
angles (deg): 87.87 87.87 87.87
Last column: nearest neighbours and their distance in Å.
Atoms (fractional coordinates):
S (0.9384, 0.1001, 0.3331)  3 Nb 2.46-2.65, 1 Hf 2.59
S (0.3331, 0.9384, 0.1001)  3 Nb 2.46-2.65, 1 Hf 2.59
S (0.5859, 0.8282, 0.4615)  2 Nb 2.42-2.54, 1 Hf 2.51
S (0.8999, 0.6669, 0.0616)  3 Nb 2.46-2.65, 1 Hf 2.59
S (0.5385, 0.4141, 0.1718)  2 Nb 2.42-2.54, 1 Hf 2.51
S (0.6669, 0.0616, 0.8999)  3 Nb 2.46-2.65, 1 Hf 2.59
S (0.1718, 0.5385, 0.4141)  2 Nb 2.42-2.54, 1 Hf 2.51
S (0.8282, 0.4615, 0.5859)  2 Nb 2.42-2.54, 1 Hf 2.51
S (0.0616, 0.8999, 0.6669)  3 Nb 2.46-2.65, 1 Hf 2.59
S (0.4141, 0.1718, 0.5385)  2 Nb 2.42-2.54, 1 Hf 2.51
S (0.1001, 0.3331, 0.9384)  3 Nb 2.46-2.65, 1 Hf 2.59
S (0.4615, 0.5859, 0.8282)  2 Nb 2.42-2.54, 1 Hf 2.51
Hf (0.0000, 0.0000, 0.0000)  6 S 2.59
Hf (0.5000, 0.5000, 0.5000)  6 S 2.51
Nb (0.9057, 0.7679, 0.3819)  5 S 2.42-2.65
Nb (0.3819, 0.9057, 0.7679)  5 S 2.42-2.65
Nb (0.7679, 0.3819, 0.9057)  5 S 2.42-2.65
Nb (0.0943, 0.2321, 0.6181)  5 S 2.42-2.65
Nb (0.6181, 0.0943, 0.2321)  5 S 2.42-2.65
Nb (0.2321, 0.6181, 0.0943)  5 S 2.42-2.65



[20]
A plane-wave DFT calculation with PBE-GGA was carried out for an optimized crystal structure of PmPr2As.

Results
DOS at the Fermi energy	1.02	states/eV/atom
uncorrected energy	-5.317	eV/atom
total moment	0.000	Bohr magnetons per cell

a b c (Å): 4.0174 4.0174 9.9527
angles (deg): 78.36 78.36 60.00
Last column: nearest neighbours and their distance in Å.
Atoms (fractional coordinates):
Pr (0.2710, 0.2710, 0.1870)  3 As 2.94
Pr (0.7290, 0.7290, 0.8130)  3 As 2.94
Pm (0.5000, 0.5000, 0.5000)  6 Pr 3.82, 6 Pm 4.02
As (0.0000, 0.0000, 0.0000)  6 Pr 2.94